KRuCl after structural relaxation. Source: the Alexandria database, functional PBE.

Structure (CIF):
```
data_KRuCl
_chemical_formula_sum 'K2 Ru2 Cl2'
_cell_length_a 3.388
_cell_length_b 3.388
_cell_length_c 11.608
_cell_angle_alpha 90.00
_cell_angle_beta 90.00
_cell_angle_gamma 90.00
_space_group_name_H-M_alt 'I 4 m m'
_space_group_IT_number 107
_space_group_name_Hall 'I 4 -2'
loop_
_atom_site_label
_atom_site_fract_x
_atom_site_fract_y
_atom_site_fract_z
K1 0.000 0.000 0.000
Ru1 0.000 0.000 0.282
Cl1 0.000 0.000 0.728
```

Calculated values
- Formation energy without anion corrections: 9.321 kcal/mol of atoms